No. 1
Compound: Pa2BeCrO8
Source: the Alexandria database
Functional: PBE with a Hubbard U
Structure: optimized geometry Values from VASP.

Quantum ESPRESSO input file:
```
&SYSTEM
  ibrav = 0, nat = 12, ntyp = 4
/
ATOMIC_SPECIES
O 16.00 O.upf
Pa 231.04 Pa.upf
Cr 52.00 Cr.upf
Be 9.01 Be.upf
ATOMIC_POSITIONS crystal
O 0.302 0.245 0.000
O 0.881 0.231 0.716
O 0.881 0.231 0.284
O 0.389 0.252 0.500
O 0.119 0.769 0.284
O 0.119 0.769 0.716
O 0.698 0.755 0.000
O 0.611 0.748 0.500
Pa 0.500 0.500 0.751
Pa 0.500 0.500 0.249
Cr 0.000 0.000 0.500
Be 0.000 0.000 0.000
CELL_PARAMETERS angstrom
-1.784 -0.955 -3.374
4.434 -1.750 -0.964
-1.986 -6.638 2.928
```

Properties
E_tot in eV/atom: -8.51
Space-group type: P2/m, No. 10

---

No. 2
Compound: BeCrPb2O6
Source: the Alexandria database
Functional: PBE with a Hubbard U
Structure: optimized geometry Values from VASP.

Quantum ESPRESSO input file:
```
&SYSTEM
  ibrav = 0, nat = 10, ntyp = 4
/
ATOMIC_SPECIES
O 16.00 O.upf
Be 9.01 Be.upf
Pb 207.20 Pb.upf
Cr 52.00 Cr.upf
ATOMIC_POSITIONS crystal
O 0.576 0.099 0.271
O 0.582 0.635 0.700
O 0.084 0.582 0.699
O 0.636 0.083 0.699
O 0.099 0.054 0.271
O 0.054 0.577 0.271
Be 0.244 0.245 0.266
Pb 0.020 0.020 0.939
Pb 0.553 0.553 0.340
Cr 0.814 0.813 0.558
CELL_PARAMETERS angstrom
-4.258 -3.064 -1.519
-0.721 -4.954 2.175
-4.534 -0.553 4.052
```

Properties
E_tot in eV/atom: -6.20
Space-group type: P1, No. 1

---

No. 3
Compound: PmBeCr2O6
Source: the Alexandria database
Functional: PBE with a Hubbard U
Structure: optimized geometry Values from VASP.

Quantum ESPRESSO input file:
```
&SYSTEM
  ibrav = 0, nat = 10, ntyp = 4
/
ATOMIC_SPECIES
O 16.00 O.upf
Be 9.01 Be.upf
Pm 145.00 Pm.upf
Cr 52.00 Cr.upf
ATOMIC_POSITIONS crystal
O 0.353 0.713 0.758
O 0.879 0.650 0.165
O 0.220 0.304 0.813
O 0.583 0.259 0.204
O 0.830 0.186 0.664
O 0.205 0.837 0.267
Be 0.274 0.431 0.033
Pm 0.793 0.768 0.691
Cr 0.525 0.496 0.444
Cr 0.998 0.018 0.975
CELL_PARAMETERS angstrom
-0.902 -0.545 -4.934
3.896 -1.933 -3.278
-0.572 -4.961 -1.698
```

Properties
E_tot in eV/atom: -7.53
Space-group type: P1, No. 1

---

No. 4
Compound: Pm2BeCrO6
Source: the Alexandria database
Functional: PBE with a Hubbard U
Structure: optimized geometry Values from VASP.

Quantum ESPRESSO input file:
```
&SYSTEM
  ibrav = 0, nat = 20, ntyp = 4
/
ATOMIC_SPECIES
Pm 145.00 Pm.upf
O 16.00 O.upf
Cr 52.00 Cr.upf
Be 9.01 Be.upf
ATOMIC_POSITIONS crystal
Pm 0.008 0.964 0.250
Pm 0.508 0.536 0.750
Pm 0.492 0.464 0.250
Pm 0.992 0.036 0.750
O 0.729 0.288 0.963
O 0.229 0.212 0.463
O 0.278 0.719 0.464
O 0.722 0.281 0.536
O 0.067 0.489 0.753
O 0.771 0.788 0.537
O 0.778 0.781 0.964
O 0.433 0.989 0.747
O 0.222 0.219 0.036
O 0.271 0.712 0.037
O 0.567 0.011 0.253
O 0.933 0.511 0.247
Cr 0.500 0.000 0.000
Cr 0.000 0.500 0.500
Be 0.000 0.500 0.000
Be 0.500 0.000 0.500
CELL_PARAMETERS angstrom
-4.061 1.475 3.122
1.926 -3.096 3.967
4.019 5.735 2.524
```

Properties
E_tot in eV/atom: -7.70
Space-group type: P2_1/c, No. 14

---

No. 5
Compound: Pr2BeCrO6
Source: the Alexandria database
Functional: PBE with a Hubbard U
Structure: optimized geometry Values from VASP.

Quantum ESPRESSO input file:
```
&SYSTEM
  ibrav = 0, nat = 20, ntyp = 4
/
ATOMIC_SPECIES
O 16.00 O.upf
Pr 140.91 Pr.upf
Be 9.01 Be.upf
Cr 52.00 Cr.upf
ATOMIC_POSITIONS crystal
O 0.255 0.250 0.475
O 0.754 0.739 0.971
O 0.746 0.239 0.529
O 0.755 0.250 0.975
O 0.745 0.750 0.525
O 0.946 0.504 0.250
O 0.245 0.750 0.025
O 0.246 0.261 0.029
O 0.254 0.761 0.471
O 0.054 0.496 0.750
O 0.446 0.996 0.750
O 0.554 0.004 0.250
Pr 0.503 0.496 0.751
Pr 0.497 0.504 0.249
Pr 0.997 0.996 0.749
Pr 0.003 0.004 0.251
Be 0.500 0.000 0.500
Be 0.000 0.500 0.000
Cr 0.000 0.500 0.500
Cr 0.500 0.000 0.000
CELL_PARAMETERS angstrom
-1.580 2.512 4.473
1.972 -3.970 2.926
6.533 3.566 0.437
```

Properties
E_tot in eV/atom: -10.29
Space-group type: P2_1/c, No. 14

---

No. 6
Compound: PrBe3Cr4O12
Source: the Alexandria database
Functional: PBE with a Hubbard U
Structure: optimized geometry Values from VASP.

Quantum ESPRESSO input file:
```
&SYSTEM
  ibrav = 0, nat = 20, ntyp = 4
/
ATOMIC_SPECIES
O 16.00 O.upf
Be 9.01 Be.upf
Cr 52.00 Cr.upf
Pr 140.91 Pr.upf
ATOMIC_POSITIONS crystal
O 0.159 0.322 0.837
O 0.837 0.159 0.322
O 0.678 0.837 0.516
O 0.484 0.322 0.163
O 0.322 0.163 0.484
O 0.163 0.484 0.322
O 0.841 0.678 0.163
O 0.163 0.841 0.678
O 0.322 0.837 0.159
O 0.678 0.163 0.841
O 0.837 0.516 0.678
O 0.516 0.678 0.837
Be 0.500 0.000 0.500
Be 0.000 0.500 0.500
Be 0.500 0.500 0.000
Cr 0.000 0.000 0.500
Cr 0.000 0.500 0.000
Cr 0.500 0.000 0.000
Cr 0.500 0.500 0.500
Pr 0.000 0.000 0.000
CELL_PARAMETERS angstrom
6.260 0.000 0.000
-2.087 5.902 0.000
-2.087 -2.951 5.111
```

Properties
E_tot in eV/atom: -7.25
Space-group type: Im-3, No. 204